A plane-wave DFT calculation with GGA-PBE was carried out for Mo2RhBr after structural relaxation.

N(E_F) (states/eV/f.u.): 5.290
Space-group type: P4/mmm, No. 123
ΔE to the lowest computed polymorph (kJ/mol of formula units): 95
Size of the total moment (μB per atom): 0.00
Formation energy from raw total energies (eV per atom): 0.52

Lattice parameters (Å, degrees): 3.0113 3.0113 6.9467 90.00 90.00 90.00
Closest atoms and distances in Å follow each position.
Element x y z (fractional)
Mo  0.0000  0.0000  0.0001  4 Rh 2.75, 4 Br 2.75, 4 Mo 3.01
Mo  0.0000  0.0000  0.4999  4 Rh 2.75, 4 Br 2.75, 4 Mo 3.01
Rh  0.5000  0.5000  0.2500  8 Mo 2.75, 4 Rh 3.01
Br  0.5000  0.5000  0.7500  8 Mo 2.75, 4 Br 3.01